# 1
This record from Alexandria via LeMat-Bulk describes a geometry-optimized SrZnTc2 structure. The functional is PBE-GGA.

Lattice parameters (Å, degrees): 10.0164 10.0164 10.0164 16.54 16.54 16.54
With the nearest neighbours (Å) after each atom.
Element x y z (fractional)
Tc: 0.9895 0.9895 0.9895  3 Zn 2.72, 6 Tc 2.88
Sr: 0.7500 0.7500 0.7500  6 Sr 2.88
Zn: 0.2500 0.2500 0.2500  6 Tc 2.72, 6 Zn 2.88
Tc: 0.5105 0.5105 0.5105  3 Zn 2.72, 6 Tc 2.88

energy of formation = 0.869 eV per atom
magnetic moment = 0.0002 μB per atom

---

# 2
This record from Alexandria via LeMat-Bulk describes a geometry-optimized SrZr2Tc structure. The functional is PBE-GGA.

Lattice parameters (Å, degrees): 5.5887 5.5887 9.4620 72.82 72.82 90.00
With the nearest neighbours (Å) after each atom.
Element x y z (fractional)
Tc: 0.7500 0.2500 0.5000  4 Zr 2.56
Zr: 0.8750 0.6250 0.2500  2 Tc 2.56, 2 Zr 2.79
Zr: 0.3750 0.1250 0.7500  2 Tc 2.56, 2 Zr 2.79
Zr: 0.8750 0.1250 0.7500  2 Tc 2.56, 2 Zr 2.79
Zr: 0.8750 0.1250 0.2500  2 Tc 2.56, 2 Zr 2.79
Sr: 0.5000 0.5000 0.0000  8 Zr 3.79, 4 Tc 3.95
Tc: 0.0000 0.0000 0.0000  4 Zr 2.56
Sr: 0.2500 0.7500 0.5000  8 Zr 3.79, 4 Tc 3.95

energy of formation = 1.002 eV per atom
magnetic moment = 0.0000 μB per atom
offset from the most stable computed form = 941 meV per atom

---

# 3
This record from Alexandria via LeMat-Bulk describes a geometry-optimized SrZr2Tc structure. The functional is PBE-GGA.

Lattice parameters (Å, degrees): 3.4666 3.4666 8.3002 90.00 90.00 90.00
With the nearest neighbours (Å) after each atom.
Element x y z (fractional)
Sr: 0.0000 0.0000 0.5429  4 Tc 3.32, 4 Sr 3.47, 1 Zr 3.48
Tc: 0.5000 0.5000 0.8119  5 Zr 2.75-3.08
Zr: 0.0000 0.0000 0.9622  4 Tc 2.75, 4 Zr 3.06
Zr: 0.5000 0.5000 0.1830  4 Zr 3.06, 1 Tc 3.08

energy of formation = 0.227 eV per atom
magnetic moment = 0.0000 μB per atom
offset from the most stable computed form = 165 meV per atom

---

# 4
This record from Alexandria via LeMat-Bulk describes a geometry-optimized SrZrTc2 structure. The functional is PBE-GGA.

Lattice parameters (Å, degrees): 3.9784 3.1827 7.8077 73.11 90.00 90.00
With the nearest neighbours (Å) after each atom.
Element x y z (fractional)
Zr: 0.0000 0.5099 0.4072  3 Tc 2.52-2.78
Tc: 0.5000 0.2256 0.2177  2 Tc 2.44
Sr: 0.5000 0.7683 0.7869  2 Sr 3.18, 5 Tc 3.30-3.49
Tc: 0.0000 0.9962 0.0882  2 Tc 2.44, 1 Zr 2.52

energy of formation = 0.360 eV per atom
magnetic moment = 0.0000 μB per atom
offset from the most stable computed form = 56 meV per atom

---

# 5
This record from Alexandria via LeMat-Bulk describes a geometry-optimized SrZr2Tc structure. The functional is PBE-GGA.

Lattice parameters (Å, degrees): 6.0495 6.0495 6.0495 146.71 124.17 66.57
With the nearest neighbours (Å) after each atom.
Element x y z (fractional)
Zr: 0.4477 0.4477 0.0000  2 Tc 2.65
Zr: 0.0523 0.0523 0.0000  2 Tc 2.65
Tc: 0.2500 0.7500 0.5000  4 Zr 2.65
Sr: 0.7500 0.2500 0.5000  4 Tc 3.32, 2 Sr 3.47, 8 Zr 3.47-3.51

energy of formation = 0.267 eV per atom
magnetic moment = 0.0000 μB per atom
offset from the most stable computed form = 206 meV per atom

---

# 6
This record from Alexandria via LeMat-Bulk describes a geometry-optimized Sr2ZrTc structure. The functional is PBE-GGA.

Lattice parameters (Å, degrees): 11.7617 11.7617 8.6528 47.18 47.18 90.00
With the nearest neighbours (Å) after each atom.
Element x y z (fractional)
Tc: 0.0000 0.0000 0.0000  2 Zr 2.39
Sr: 0.9637 0.6250 0.2500  2 Tc 3.18
Tc: 0.7500 0.2500 0.5000  2 Zr 2.39
Sr: 0.7863 0.1250 0.2500  2 Tc 3.18
Zr: 0.2500 0.7500 0.5000  2 Tc 2.39
Sr: 0.8750 0.0363 0.7500  2 Tc 3.18
Sr: 0.3750 0.2137 0.7500  2 Tc 3.18
Zr: 0.5000 0.5000 0.0000  2 Tc 2.39

energy of formation = 0.735 eV per atom
magnetic moment = 0.0000 μB per atom
offset from the most stable computed form = 512 meV per atom

---

# 7
This record from Alexandria via LeMat-Bulk describes a geometry-optimized Sr4ZrTc structure. The functional is PBE-GGA.

Lattice parameters (Å, degrees): 6.8778 6.8778 6.8778 60.00 60.00 60.00
With the nearest neighbours (Å) after each atom.
Element x y z (fractional)
Sr: 0.3747 0.3747 0.8759  6 Sr 3.43-3.45
Sr: 0.8759 0.3747 0.3747  6 Sr 3.43-3.45
Tc: 0.7500 0.7500 0.7500  12 Sr 4.03, 4 Zr 4.21
Sr: 0.3747 0.3747 0.3747  6 Sr 3.43-3.45
Zr: 0.0000 0.0000 0.0000  12 Sr 4.03, 4 Tc 4.21
Sr: 0.3747 0.8759 0.3747  6 Sr 3.43-3.45

energy of formation = 1.384 eV per atom
magnetic moment = 1.1770 μB per atom

---

# 8
This record from Alexandria via LeMat-Bulk describes a geometry-optimized SrZr4Tc structure. The functional is PBE-GGA.

Lattice parameters (Å, degrees): 5.8660 5.8660 5.8660 60.00 60.00 60.00
With the nearest neighbours (Å) after each atom.
Element x y z (fractional)
Zr: 0.8816 0.3728 0.3728  6 Zr 2.88-2.98
Zr: 0.3728 0.3728 0.3728  6 Zr 2.88-2.98
Zr: 0.3728 0.3728 0.8816  6 Zr 2.88-2.98
Sr: 0.7500 0.7500 0.7500  12 Zr 3.44, 4 Tc 3.59
Zr: 0.3728 0.8816 0.3728  6 Zr 2.88-2.98
Tc: 0.0000 0.0000 0.0000  12 Zr 3.43, 4 Sr 3.59

energy of formation = 0.722 eV per atom
magnetic moment = 0.0000 μB per atom

---

What did the first record say?
This record from Alexandria via LeMat-Bulk describes a geometry-optimized SrZnTc2 structure. The functional is PBE-GGA.

Lattice parameters (Å, degrees): 10.0164 10.0164 10.0164 16.54 16.54 16.54
With the nearest neighbours (Å) after each atom.
Element x y z (fractional)
Tc: 0.9895 0.9895 0.9895  3 Zn 2.72, 6 Tc 2.88
Sr: 0.7500 0.7500 0.7500  6 Sr 2.88
Zn: 0.2500 0.2500 0.2500  6 Tc 2.72, 6 Zn 2.88
Tc: 0.5105 0.5105 0.5105  3 Zn 2.72, 6 Tc 2.88

energy of formation = 0.869 eV per atom
magnetic moment = 0.0002 μB per atom

---

Which value of magnetic moment does entry 8 give? 0.0000 μB per atom

---

What is the magnetic moment in the seventh record? 1.1770 μB per atom